Here is a geometry-optimized Ca2Zn6GaCu structure from Alexandria. Energies are from GGA-PBE.

```
Ca2Zn6GaCu
1.0
0.000 4.742 4.742
4.742 0.000 4.742
4.742 4.742 0.000
Ca Zn Ga Cu
2 6 1 1
Direct
0.250 0.250 0.250
0.750 0.750 0.750
0.244 0.244 0.756
0.244 0.756 0.244
0.244 0.756 0.756
0.756 0.244 0.244
0.756 0.244 0.756
0.756 0.756 0.244
0.500 0.500 0.500
0.000 0.000 0.000
```

Uncorrected energy = -1.8849 eV per atom
Symmetry = No. 225
Crystal system = cubic
M_tot = 0.0 Bohr magnetons per cell
Calculated density = 4.718 g/cm³
Formation energy from the elements = -8 meV/atom



Here is a geometry-optimized PuP2Se6 structure from Alexandria. Energies are from GGA-PBE.

```
PuP2Se6
1.0
3.327 1.921 7.422
-3.327 1.921 7.422
0.000 -3.842 7.422
Pu P Se
1 2 6
Direct
0.000 0.000 0.000
0.616 0.616 0.616
0.718 0.718 0.718
0.056 0.769 0.423
0.262 0.598 0.895
0.423 0.056 0.769
0.598 0.895 0.262
0.769 0.423 0.056
0.895 0.262 0.598
```

Uncorrected energy = -5.5165 eV per atom
Symmetry = No. 146
Crystal system = trigonal
Formation energy from raw total energies = -0.399 eV per atom
M_tot = 4.0 Bohr magnetons per cell
Calculated density = 4.548 g/cm³